Compound: Cd3CuP
Source: Alexandria via LeMat-Bulk
Functional: GGA-PBE
Structure: relaxed

Cell lengths 4.930, 4.930, 4.930 Å; angles 90.00, 90.00, 90.00 degrees
Space group Pm-3m (No. 221)
Unique sites:
Cd  0.000  0.000  0.500 [3 per cell]
Cu  0.000  0.000  0.000 [1 per cell]
P  0.500  0.500  0.500 [1 per cell]

## Properties
N(E_F) in states/eV/cell: 2.77
ΔE_f in eV/atom: 0.572
Energy above the most stable polymorph in this dataset in kJ/mol of formula units: 0
Crystal system: cubic
Calculated total energy in eV/atom: -1.878
Size of the total moment in μB per cell: 0.00